## ScSb2W (GGA-PBE)

Data for a relaxed structure of ScSb2W.

Lattice parameters (Å, degrees): 6.853 6.853 6.853 90.00 90.00 90.00
Space group Fm-3m (No. 225)
Symmetry-distinct sites (fractional):
Sc (0.000, 0.000, 0.000) (multiplicity 4)
Sb (0.250, 0.250, 0.250) (multiplicity 8)
W (0.000, 0.000, 0.500) (multiplicity 4)

Its density of states at the Fermi level is 0.56 states/eV per atom. As for the relative energy among the computed polymorphs: 7.8 meV per atom.

=====

## ScSbW2 (GGA-PBE)

Data for a relaxed structure of ScSbW2.

Lattice parameters (Å, degrees): 4.313 4.313 7.788 90.00 90.00 90.00
Space group I-4m2 (No. 119)
Symmetry-distinct sites (fractional):
Sc (0.000, 0.000, 0.000) (multiplicity 2)
Sb (0.000, 0.500, 0.250) (multiplicity 2)
W (0.000, 0.000, 0.500) (multiplicity 2)
W (0.000, 0.500, 0.750) (multiplicity 2)

Its density of states at the Fermi level is 0.37 states/eV per atom.

=====

## ScSb3W (GGA-PBE)

Data for a relaxed structure of ScSb3W.

Lattice parameters (Å, degrees): 5.266 5.266 5.266 90.00 90.00 90.00
Space group Pm-3m (No. 221)
Symmetry-distinct sites (fractional):
Sc (0.000, 0.000, 0.000) (multiplicity 1)
Sb (0.000, 0.500, 0.500) (multiplicity 3)
W (0.500, 0.500, 0.500) (multiplicity 1)

Its density of states at the Fermi level is 1.50 states/eV per atom. As for the relative energy among the computed polymorphs: 0.0 meV per atom.

=====

## ScSbW (GGA-PBE)

Data for a relaxed structure of ScSbW.

Lattice parameters (Å, degrees): 3.552 3.552 9.246 90.00 90.00 90.00
Space group I4mm (No. 107)
Symmetry-distinct sites (fractional):
Sc (0.000, 0.000, 0.000) (multiplicity 2)
Sb (0.000, 0.000, 0.682) (multiplicity 2)
W (0.000, 0.000, 0.330) (multiplicity 2)

Its density of states at the Fermi level is 0.30 states/eV per atom. As for the relative energy among the computed polymorphs: 0.0 meV per atom.

=====

## ScSbW2 (GGA-PBE)

Data for a relaxed structure of ScSbW2.

Lattice parameters (Å, degrees): 3.430 4.961 8.973 90.00 90.00 90.00
Space group Cmm2 (No. 35)
Symmetry-distinct sites (fractional):
Sc (0.000, 0.000, 0.000) (multiplicity 2)
Sb (0.000, 0.500, 0.727) (multiplicity 2)
W (0.000, 0.000, 0.471) (multiplicity 2)
W (0.000, 0.500, 0.251) (multiplicity 2)

Its density of states at the Fermi level is 0.86 states/eV per atom.

=====

## ScSbW2 (GGA-PBE)

Data for a relaxed structure of ScSbW2.

Lattice parameters (Å, degrees): 3.461 4.802 9.054 90.00 90.00 90.00
Space group Cmmm (No. 65)
Symmetry-distinct sites (fractional):
Sc (0.000, 0.000, 0.000) (multiplicity 2)
Sb (0.000, 0.000, 0.500) (multiplicity 2)
W (0.000, 0.500, 0.256) (multiplicity 4)

Its density of states at the Fermi level is 0.86 states/eV per atom.

=====

## ScSbW2 (GGA-PBE)

Data for a relaxed structure of ScSbW2.

Lattice parameters (Å, degrees): 3.016 4.430 5.730 90.00 93.43 90.00
Space group Pm (No. 6)
Symmetry-distinct sites (fractional):
Sc (0.000, 0.000, 0.000) (multiplicity 1)
Sb (0.481, 0.500, 0.773) (multiplicity 1)
W (0.395, 0.000, 0.464) (multiplicity 1)
W (0.664, 0.500, 0.272) (multiplicity 1)

Its density of states at the Fermi level is 0.83 states/eV per atom.

=====

## ScSbW (GGA-PBE)

Data for a relaxed structure of ScSbW.

Lattice parameters (Å, degrees): 6.448 6.448 6.448 90.00 90.00 90.00
Space group F-43m (No. 216)
Symmetry-distinct sites (fractional):
Sc (0.000, 0.000, 0.000) (multiplicity 4)
Sb (0.250, 0.250, 0.250) (multiplicity 4)
W (0.000, 0.000, 0.500) (multiplicity 4)

Its density of states at the Fermi level is 0.89 states/eV per atom. As for the relative energy among the computed polymorphs: 428.2 meV per atom.

=====

## ScSb2W (GGA-PBE)

Data for a relaxed structure of ScSb2W.

Lattice parameters (Å, degrees): 3.604 4.743 9.776 90.00 90.00 90.00
Space group Imm2 (No. 44)
Symmetry-distinct sites (fractional):
Sc (0.000, 0.000, 0.000) (multiplicity 2)
Sb (0.000, 0.000, 0.530) (multiplicity 2)
Sb (0.000, 0.500, 0.751) (multiplicity 2)
W (0.000, 0.500, 0.249) (multiplicity 2)

Its density of states at the Fermi level is 0.79 states/eV per atom. As for the relative energy among the computed polymorphs: 176.9 meV per atom.

=====

## Sc2SbW (GGA-PBE)

Data for a relaxed structure of Sc2SbW.

Lattice parameters (Å, degrees): 3.641 5.071 9.234 90.00 90.00 90.00
Space group Cmm2 (No. 35)
Symmetry-distinct sites (fractional):
Sc (0.000, 0.000, 0.000) (multiplicity 2)
Sc (0.000, 0.500, 0.289) (multiplicity 2)
Sb (0.000, 0.500, 0.749) (multiplicity 2)
W (0.000, 0.000, 0.522) (multiplicity 2)

Its density of states at the Fermi level is 1.62 states/eV per atom.

=====

## Sc2SbW (GGA-PBE)

Data for a relaxed structure of Sc2SbW.

Lattice parameters (Å, degrees): 3.2815 3.2815 28.1384 90.00 90.00 120.00
Space group R3m (No. 160, hexagonal axes)
Symmetry-distinct sites (fractional):
Sc (0.0000, 0.0000, 0.0000) (multiplicity 3)
Sc (0.0000, 0.0000, 0.2359) (multiplicity 3)
Sb (0.0000, 0.0000, 0.7531) (multiplicity 3)
W (0.0000, 0.0000, 0.4910) (multiplicity 3)

Its density of states at the Fermi level is 0.43 states/eV per atom.

=====

## ScSbW2 (GGA-PBE)

Data for a relaxed structure of ScSbW2.

Lattice parameters (Å, degrees): 3.440 4.480 9.426 90.00 90.00 90.00
Space group Immm (No. 71)
Symmetry-distinct sites (fractional):
Sc (0.000, 0.000, 0.000) (multiplicity 2)
Sb (0.000, 0.000, 0.500) (multiplicity 2)
W (0.000, 0.500, 0.255) (multiplicity 4)

Its density of states at the Fermi level is 0.77 states/eV per atom.

=====

## Sc2Sb2W (GGA-PBE)

Data for a relaxed structure of Sc2Sb2W.

Lattice parameters (Å, degrees): 7.204 7.204 4.081 90.00 90.00 90.00
Space group P4/mbm (No. 127)
Symmetry-distinct sites (fractional):
Sc (0.164, 0.336, 0.000) (multiplicity 4)
Sb (0.145, 0.645, 0.500) (multiplicity 4)
W (0.000, 0.000, 0.500) (multiplicity 2)

Its density of states at the Fermi level is 0.13 states/eV per atom.

=====

## ScSb2W (GGA-PBE)

Data for a relaxed structure of ScSb2W.

Lattice parameters (Å, degrees): 8.662 3.491 5.814 90.00 101.20 90.00
Space group C2/m (No. 12)
Symmetry-distinct sites (fractional):
Sc (0.000, 0.000, 0.000) (multiplicity 2)
Sb (0.238, 0.000, 0.721) (multiplicity 4)
W (0.000, 0.500, 0.500) (multiplicity 2)

Its density of states at the Fermi level is 0.89 states/eV per atom. As for the relative energy among the computed polymorphs: 129.4 meV per atom.

=====

## ScSbW4 (GGA-PBE)

Data for a relaxed structure of ScSbW4.

Lattice parameters (Å, degrees): 7.632 7.632 7.632 90.00 90.00 90.00
Space group F-43m (No. 216)
Symmetry-distinct sites (fractional):
Sc (0.000, 0.000, 0.000) (multiplicity 4)
Sb (0.250, 0.250, 0.250) (multiplicity 4)
W (0.125, 0.125, 0.625) (multiplicity 16)

Its density of states at the Fermi level is 0.72 states/eV per atom.

=====

## ScSbW2 (GGA-PBE)

Data for a relaxed structure of ScSbW2.

Lattice parameters (Å, degrees): 9.992 3.364 4.591 90.00 107.59 90.00
Space group C2/m (No. 12)
Symmetry-distinct sites (fractional):
Sc (0.000, 0.000, 0.000) (multiplicity 2)
Sb (0.000, 0.500, 0.500) (multiplicity 2)
W (0.249, 0.500, 0.268) (multiplicity 4)

Its density of states at the Fermi level is 0.68 states/eV per atom.

=====

## ScSb2W (GGA-PBE)

Data for a relaxed structure of ScSb2W.

Lattice parameters (Å, degrees): 3.374 3.374 7.255 90.00 90.00 90.00
Space group P4/mmm (No. 123)
Symmetry-distinct sites (fractional):
Sc (0.000, 0.000, 0.000) (multiplicity 1)
Sb (0.500, 0.500, 0.276) (multiplicity 2)
W (0.000, 0.000, 0.500) (multiplicity 1)

Its density of states at the Fermi level is 0.89 states/eV per atom. As for the relative energy among the computed polymorphs: 29.4 meV per atom.

=====

## Sc4SbW (GGA-PBE)

Data for a relaxed structure of Sc4SbW.

Lattice parameters (Å, degrees): 7.997 7.997 7.997 90.00 90.00 90.00
Space group F-43m (No. 216)
Symmetry-distinct sites (fractional):
Sc (0.123, 0.123, 0.123) (multiplicity 16)
Sb (0.000, 0.000, 0.500) (multiplicity 4)
W (0.250, 0.250, 0.750) (multiplicity 4)

Its density of states at the Fermi level is 1.33 states/eV per atom.

=====

## Sc2SbW (GGA-PBE)

Data for a relaxed structure of Sc2SbW.

Lattice parameters (Å, degrees): 3.591 3.591 6.358 90.00 90.00 90.00
Space group P4mm (No. 99)
Symmetry-distinct sites (fractional):
Sc (0.000, 0.000, 0.000) (multiplicity 1)
Sc (0.500, 0.500, 0.289) (multiplicity 1)
Sb (0.500, 0.500, 0.752) (multiplicity 1)
W (0.000, 0.000, 0.541) (multiplicity 1)

Its density of states at the Fermi level is 0.91 states/eV per atom.

=====

## Sc2SbW (GGA-PBE)

Data for a relaxed structure of Sc2SbW.

Lattice parameters (Å, degrees): 7.846 7.846 5.713 90.00 90.00 90.00
Space group I-42d (No. 122)
Symmetry-distinct sites (fractional):
Sc (0.211, 0.750, 0.125) (multiplicity 8)
Sb (0.000, 0.000, 0.500) (multiplicity 4)
W (0.000, 0.000, 0.000) (multiplicity 4)

Its density of states at the Fermi level is 1.07 states/eV per atom.

=====

## ScSbW (GGA-PBE)

Data for a relaxed structure of ScSbW.

Lattice parameters (Å, degrees): 3.571 5.063 13.371 90.00 90.00 90.00
Space group Fmm2 (No. 42)
Symmetry-distinct sites (fractional):
Sc (0.000, 0.000, 0.000) (multiplicity 4)
Sb (0.000, 0.000, 0.680) (multiplicity 4)
W (0.000, 0.000, 0.339) (multiplicity 4)

Its density of states at the Fermi level is 0.70 states/eV per atom. As for the relative energy among the computed polymorphs: 246.9 meV per atom.

=====

## ScSbW2 (GGA-PBE)

Data for a relaxed structure of ScSbW2.

Lattice parameters (Å, degrees): 2.912 2.912 8.972 90.00 90.00 90.00
Space group P4/mmm (No. 123)
Symmetry-distinct sites (fractional):
Sc (0.000, 0.000, 0.000) (multiplicity 1)
Sb (0.000, 0.000, 0.500) (multiplicity 1)
W (0.500, 0.500, 0.253) (multiplicity 2)

Its density of states at the Fermi level is 0.82 states/eV per atom.

=====

## ScSb2W (GGA-PBE)

Data for a relaxed structure of ScSb2W.

Lattice parameters (Å, degrees): 3.211 4.368 6.086 90.00 99.60 90.00
Space group P2/m (No. 10)
Symmetry-distinct sites (fractional):
Sc (0.000, 0.000, 0.000) (multiplicity 1)
Sb (0.312, 0.500, 0.743) (multiplicity 2)
W (0.500, 0.000, 0.500) (multiplicity 1)

Its density of states at the Fermi level is 0.65 states/eV per atom. As for the relative energy among the computed polymorphs: 194.4 meV per atom.

=====

## ScSbW2 (GGA-PBE)

Data for a relaxed structure of ScSbW2.

Lattice parameters (Å, degrees): 3.1849 3.1849 26.8829 90.00 90.00 120.00
Space group R3m (No. 160, hexagonal axes)
Symmetry-distinct sites (fractional):
Sc (0.0000, 0.0000, 0.0000) (multiplicity 3)
Sb (0.0000, 0.0000, 0.2364) (multiplicity 3)
W (0.0000, 0.0000, 0.4869) (multiplicity 3)
W (0.0000, 0.0000, 0.7496) (multiplicity 3)

Its density of states at the Fermi level is 0.84 states/eV per atom.

=====

## ScSbW2 (GGA-PBE)

Data for a relaxed structure of ScSbW2.

Lattice parameters (Å, degrees): 4.035 4.035 4.445 90.00 90.00 90.00
Space group P4/mmm (No. 123)
Symmetry-distinct sites (fractional):
Sc (0.000, 0.000, 0.000) (multiplicity 1)
Sb (0.500, 0.500, 0.000) (multiplicity 1)
W (0.000, 0.500, 0.500) (multiplicity 2)

Its density of states at the Fermi level is 0.35 states/eV per atom.

=====

## ScSbW2 (GGA-PBE)

Data for a relaxed structure of ScSbW2.

Lattice parameters (Å, degrees): 3.559 4.612 9.009 90.00 90.00 90.00
Space group Imm2 (No. 44)
Symmetry-distinct sites (fractional):
Sc (0.000, 0.000, 0.000) (multiplicity 2)
Sb (0.000, 0.500, 0.232) (multiplicity 2)
W (0.000, 0.000, 0.476) (multiplicity 2)
W (0.000, 0.500, 0.761) (multiplicity 2)

Its density of states at the Fermi level is 0.56 states/eV per atom.

=====

## ScSb2W (GGA-PBE)

Data for a relaxed structure of ScSb2W.

Lattice parameters (Å, degrees): 5.000 3.556 10.003 90.00 90.00 90.00
Space group Amm2 (No. 38)
Symmetry-distinct sites (fractional):
Sc (0.000, 0.000, 0.000) (multiplicity 2)
Sb (0.000, 0.000, 0.722) (multiplicity 2)
Sb (0.500, 0.000, 0.336) (multiplicity 2)
W (0.500, 0.000, 0.609) (multiplicity 2)

Its density of states at the Fermi level is 0.47 states/eV per atom. As for the relative energy among the computed polymorphs: 135.1 meV per atom.

=====

## Sc2SbW (GGA-PBE)

Data for a relaxed structure of Sc2SbW.

Lattice parameters (Å, degrees): 3.792 4.984 8.798 90.00 90.00 90.00
Space group Cmmm (No. 65)
Symmetry-distinct sites (fractional):
Sc (0.000, 0.000, 0.232) (multiplicity 4)
Sb (0.000, 0.500, 0.500) (multiplicity 2)
W (0.000, 0.500, 0.000) (multiplicity 2)

Its density of states at the Fermi level is 0.98 states/eV per atom.

=====

## Sc2SbW (GGA-PBE)

Data for a relaxed structure of Sc2SbW.

Lattice parameters (Å, degrees): 6.464 6.476 3.777 90.00 90.00 90.00
Space group Cmmm (No. 65)
Symmetry-distinct sites (fractional):
Sc (0.250, 0.250, 0.000) (multiplicity 4)
Sb (0.000, 0.000, 0.500) (multiplicity 2)
W (0.000, 0.500, 0.500) (multiplicity 2)

Its density of states at the Fermi level is 0.91 states/eV per atom.

=====

## ScSbW (GGA-PBE)

Data for a relaxed structure of ScSbW.

Lattice parameters (Å, degrees): 4.8320 4.8320 2.9596 90.00 90.00 120.00
Space group P-6m2 (No. 187)
Symmetry-distinct sites (fractional):
Sc (0.0000, 0.0000, 0.0000) (multiplicity 1)
Sb (0.3333, 0.6667, 0.5000) (multiplicity 1)
W (0.6667, 0.3333, 0.5000) (multiplicity 1)

Its density of states at the Fermi level is 0.85 states/eV per atom. As for the relative energy among the computed polymorphs: 167.5 meV per atom.

=====

| no. | DFT total energy (eV per cell) | formation energy without anion corrections (eV/atom) |
| --- | --- | --- |
| 1 | -110.55 | -0.03 |
| 2 | -70.85 | 0.23 |
| 3 | -28.38 | 0.65 |
| 4 | -46.98 | -0.03 |
| 5 | -70.61 | 0.26 |
| 6 | -68.25 | 0.56 |
| 7 | -35.58 | 0.19 |
| 8 | -88.82 | 0.40 |
| 9 | -53.92 | 0.14 |
| 10 | -57.70 | 0.22 |
| 11 | -86.77 | 0.20 |
| 12 | -70.88 | 0.23 |
| 13 | -70.52 | -0.28 |
| 14 | -54.30 | 0.09 |
| 15 | -241.76 | 0.30 |
| 16 | -70.92 | 0.23 |
| 17 | -27.55 | -0.01 |
| 18 | -159.35 | 0.43 |
| 19 | -29.68 | 0.02 |
| 20 | -112.30 | 0.42 |
| 21 | -91.00 | 0.22 |
| 22 | -33.56 | 0.70 |
| 23 | -26.89 | 0.16 |
| 24 | -105.81 | 0.27 |
| 25 | -35.49 | 0.22 |
| 26 | -71.39 | 0.17 |
| 27 | -54.26 | 0.10 |
| 28 | -60.04 | -0.07 |
| 29 | -60.79 | -0.16 |
| 30 | -22.99 | 0.14 |